First-principles (GGA-PBE) data for a relaxed Tb3Zn8Ru crystal, as listed in Alexandria via LeMat-Bulk.

It has space group R3m (No. 160, hexagonal axes), with a = 5.2815 Å, b = 5.2815 Å, c = 26.6408 Å, α = 90.00°, β = 90.00° and γ = 120.00°. Symmetry generates all atoms from Tb at (0.0000, 0.0000, 0.0000), Tb at (0.0000, 0.0000, 0.1259), Tb at (0.0000, 0.0000, 0.6083), Zn at (0.0000, 0.0000, 0.3072), Zn at (0.0000, 0.0000, 0.8095), Zn at (0.0016, 0.5008, 0.5550), Zn at (0.0064, 0.5032, 0.0624) and Ru at (0.0000, 0.0000, 0.5020).

The calculation puts the total energy at -3.06 eV/atom.

First-principles (GGA-PBE) data for a relaxed Tb2ZnRu crystal, as listed in Alexandria via LeMat-Bulk.

It has space group P4/mmm (No. 123), with a = 3.462 Å, b = 3.462 Å, c = 7.246 Å, α = 90.00°, β = 90.00° and γ = 90.00°. Symmetry generates all atoms from Tb at (0.000, 0.000, 0.230), Zn at (0.500, 0.500, 0.500) and Ru at (0.500, 0.500, 0.000).

The calculation puts the total energy at -5.33 eV/atom.

First-principles (GGA-PBE) data for a relaxed Tb8Zn2Ru crystal, as listed in Alexandria via LeMat-Bulk.

It has space group Immm (No. 71), with a = 4.932 Å, b = 8.374 Å, c = 13.981 Å, α = 90.00°, β = 90.00° and γ = 90.00°. Symmetry generates all atoms from Tb at (0.000, 0.000, 0.122), Tb at (0.000, 0.225, 0.344), Tb at (0.000, 0.332, 0.000), Zn at (0.000, 0.500, 0.197) and Ru at (0.000, 0.500, 0.500).

The calculation puts the total energy at -4.52 eV/atom.

| no. | ΔE_f (eV/atom) |
| --- | --- |
| 1 | -0.276 |
| 2 | -0.375 |
| 3 | -0.073 |